1.
Here is a relaxed structure of CdGaO3 from the Alexandria database. Energies are from PBE-GGA.

Structure (POSCAR):
```
CdGaO3
1.0
3.836 0.000 0.000
0.000 3.836 0.000
0.000 0.000 3.836
Cd Ga O
1 1 3
Cartesian
0.000 0.000 0.000
1.918 1.918 1.918
0.000 1.918 1.918
1.918 0.000 1.918
1.918 1.918 0.000
```

Space group: Pm-3m, No. 221
Calculated volume, Å³/f.u.: 56
Raw formation energy, eV per atom: -0.919
Energy, eV per atom: -4.68
D(E_F), states/eV/f.u.: 2.2

2.
Here is a relaxed structure of CdGaO2 from the Alexandria database. Energies are from PBE-GGA.

Structure (POSCAR):
```
CdGaO2
1.0
3.220 0.000 0.000
-1.610 2.789 0.000
0.000 0.000 21.384
Cd Ga O
3 3 6
Cartesian
0.000 0.000 0.000
0.000 1.859 14.256
1.610 0.930 7.128
0.000 0.000 11.101
0.000 1.859 3.973
1.610 0.930 18.229
0.000 0.000 3.377
0.000 0.000 12.925
0.000 1.859 5.797
0.000 1.859 17.633
1.610 0.930 10.505
1.610 0.930 20.053
```

Space group: R3m, No. 160
Calculated volume, Å³/f.u.: 64
Raw formation energy, eV per atom: -1.195
Energy, eV per atom: -4.66
D(E_F), states/eV/f.u.: 0.5

3.
Here is a relaxed structure of Cd3GaO4 from the Alexandria database. Energies are from PBE-GGA.

Structure (POSCAR):
```
Cd3GaO4
1.0
7.122 0.000 0.000
0.000 6.186 0.000
0.000 0.000 5.757
Cd Ga O
6 2 8
Cartesian
0.000 0.994 0.000
1.763 2.049 2.872
1.798 4.137 5.750
3.561 5.193 2.878
5.324 4.137 5.750
5.359 2.049 2.872
0.000 5.128 2.857
3.561 1.059 5.736
0.000 0.735 3.481
0.000 5.115 0.962
1.565 4.237 3.473
1.996 1.949 0.595
3.561 1.071 3.840
3.561 5.451 0.603
5.126 1.949 0.595
5.557 4.237 3.473
```

Space group: Pmn2_1, No. 31
Calculated volume, Å³/f.u.: 127
Raw formation energy, eV per atom: -1.226
Energy, eV per atom: -4.43
D(E_F), states/eV/f.u.: 1.2

4.
Here is a relaxed structure of CdGaO3 from the Alexandria database. Energies are from PBE-GGA.

Structure (POSCAR):
```
CdGaO3
1.0
4.065 0.000 0.000
0.000 4.065 0.000
0.000 0.000 4.065
Cd Ga O
1 1 3
Cartesian
0.000 0.000 0.000
2.032 2.032 2.032
0.000 0.000 2.032
0.000 2.032 0.000
2.032 0.000 0.000
```

Space group: Pm-3m, No. 221
Calculated volume, Å³/f.u.: 67
Raw formation energy, eV per atom: 0.139
Energy, eV per atom: -3.62
D(E_F), states/eV/f.u.: 2.7

5.
Here is a relaxed structure of CdGa2O4 from the Alexandria database. Energies are from PBE-GGA.

Structure (POSCAR):
```
CdGa2O4
1.0
4.397 0.000 0.000
0.000 4.397 0.000
0.000 0.000 5.302
Cd Ga O
1 2 4
Cartesian
0.000 0.000 0.000
0.000 2.198 2.651
2.198 0.000 2.651
1.097 1.097 1.596
1.097 3.300 3.706
3.300 1.097 3.706
3.300 3.300 1.596
```

Space group: P-42m, No. 111
Calculated volume, Å³/f.u.: 103
Raw formation energy, eV per atom: -1.560
Energy, eV per atom: -5.39

6.
Here is a relaxed structure of Cd3GaO from the Alexandria database. Energies are from PBE-GGA.

Structure (POSCAR):
```
Cd3GaO
1.0
5.090 0.000 0.000
0.000 5.090 0.000
0.000 0.000 5.090
Cd Ga O
3 1 1
Cartesian
0.000 0.000 2.545
0.000 2.545 0.000
2.545 0.000 0.000
0.000 0.000 0.000
2.545 2.545 2.545
```

Space group: Pm-3m, No. 221
Calculated volume, Å³/f.u.: 132
Raw formation energy, eV per atom: 0.482
Energy, eV per atom: -1.66
D(E_F), states/eV/f.u.: 6.5

7.
Here is a relaxed structure of CdGaO2 from the Alexandria database. Energies are from PBE-GGA.

Structure (POSCAR):
```
CdGaO2
1.0
5.794 0.000 0.000
0.000 5.794 0.000
0.000 0.000 5.794
Cd Ga O
4 4 8
Cartesian
0.000 0.000 0.000
0.000 2.897 2.897
2.897 0.000 2.897
2.897 2.897 0.000
0.000 0.000 2.897
0.000 2.897 0.000
2.897 0.000 0.000
2.897 2.897 2.897
1.449 1.449 1.449
1.449 1.449 4.346
1.449 4.346 1.449
1.449 4.346 4.346
4.346 1.449 1.449
4.346 1.449 4.346
4.346 4.346 1.449
4.346 4.346 4.346
```

Space group: Fm-3m, No. 225
Calculated volume, Å³/f.u.: 49
Raw formation energy, eV per atom: -0.470
Energy, eV per atom: -3.93
D(E_F), states/eV/f.u.: 1.5

8.
Here is a relaxed structure of Cd3GaO from the Alexandria database. Energies are from PBE-GGA.

Structure (POSCAR):
```
Cd3GaO
1.0
4.666 0.000 0.000
0.000 4.666 0.000
0.000 0.000 4.666
Cd Ga O
3 1 1
Cartesian
0.000 0.000 2.333
0.000 2.333 0.000
2.333 0.000 0.000
2.333 2.333 2.333
0.000 0.000 0.000
```

Space group: Pm-3m, No. 221
Calculated volume, Å³/f.u.: 102
Raw formation energy, eV per atom: -0.081
Energy, eV per atom: -2.23
D(E_F), states/eV/f.u.: 1.6

9.
Here is a relaxed structure of CdGa2O4 from the Alexandria database. Energies are from PBE-GGA.

Structure (POSCAR):
```
CdGa2O4
1.0
3.084 1.781 20.351
-3.084 1.781 20.351
0.000 -3.561 20.351
Cd Ga O
8 16 32
Cartesian
0.000 0.000 0.000
0.000 0.000 3.701
0.000 0.000 15.238
0.000 0.000 30.464
0.000 0.000 40.075
0.000 0.000 45.798
0.000 0.000 49.585
0.000 0.000 55.218
-1.567 -0.905 22.279
0.000 -1.737 11.980
-1.504 0.868 11.980
0.000 0.000 9.427
-1.586 -0.915 37.466
0.000 -1.777 27.282
-1.539 0.888 27.282
0.000 0.000 18.919
0.000 0.000 24.768
1.504 0.868 11.980
1.567 -0.905 22.279
0.000 1.810 22.279
0.000 0.000 34.217
1.539 0.888 27.282
1.586 -0.915 37.466
0.000 1.831 37.466
0.000 -1.960 16.089
-1.698 0.980 16.089
0.000 0.000 5.930
-1.314 -0.759 26.139
0.000 0.000 13.020
-1.519 -0.877 33.419
0.000 -1.484 23.409
-1.286 0.742 23.409
0.000 -2.055 31.143
-1.780 1.028 31.143
0.000 0.000 20.865
-1.413 -0.816 41.650
-1.756 -1.014 48.817
0.000 0.000 28.301
0.000 -1.727 38.546
-1.496 0.864 38.546
1.314 -0.759 26.139
0.000 1.518 26.139
0.000 0.000 36.212
1.698 0.980 16.089
1.286 0.742 23.409
1.519 -0.877 33.419
0.000 1.754 33.419
0.000 0.000 43.674
1.413 -0.816 41.650
0.000 1.632 41.650
0.000 0.000 51.827
1.780 1.028 31.143
1.496 0.864 38.546
0.000 0.000 58.895
1.756 -1.014 48.817
0.000 2.028 48.817
```

Space group: R3m, No. 160
Calculated volume, Å³/f.u.: 84
Raw formation energy, eV per atom: -1.603
Energy, eV per atom: -5.43

10.
Here is a relaxed structure of CdGaO3 from the Alexandria database. Energies are from PBE-GGA.

Structure (POSCAR):
```
CdGaO3
1.0
5.375 0.000 0.000
-2.687 4.655 0.000
0.000 0.000 5.207
Cd Ga O
2 2 6
Cartesian
0.000 3.103 1.302
2.687 1.552 3.905
0.000 0.000 1.302
0.000 0.000 3.905
-0.762 1.320 2.604
-1.925 3.335 0.000
1.524 0.000 2.604
0.762 1.320 0.000
3.851 0.000 0.000
1.925 3.335 2.604
```

Space group: P6_322, No. 182
Calculated volume, Å³/f.u.: 65
Raw formation energy, eV per atom: -1.060
Energy, eV per atom: -4.82
D(E_F), states/eV/f.u.: 2.9

11.
Here is a relaxed structure of CdGaO2 from the Alexandria database. Energies are from PBE-GGA.

Structure (POSCAR):
```
CdGaO2
1.0
3.013 0.000 0.000
-1.507 2.609 0.000
0.000 0.000 19.718
Cd Ga O
3 3 6
Cartesian
0.000 0.000 0.000
0.000 1.740 13.145
1.507 0.870 6.573
0.000 0.000 9.859
0.000 1.740 3.286
1.507 0.870 16.432
0.000 0.000 2.271
0.000 0.000 17.447
0.000 1.740 10.875
0.000 1.740 15.416
1.507 0.870 4.302
1.507 0.870 8.843
```

Space group: R-3m, No. 166
Calculated volume, Å³/f.u.: 52
Raw formation energy, eV per atom: -1.257
Energy, eV per atom: -4.72
D(E_F), states/eV/f.u.: 2.1

12.
Here is a relaxed structure of CdGaO2 from the Alexandria database. Energies are from PBE-GGA.

Structure (POSCAR):
```
CdGaO2
1.0
5.146 0.000 0.000
0.000 5.146 0.000
0.000 0.000 9.026
Cd Ga O
4 4 8
Cartesian
0.000 0.000 0.000
0.000 2.573 2.257
2.573 0.000 6.770
2.573 2.573 4.513
0.000 0.000 4.513
0.000 2.573 6.770
2.573 0.000 2.257
2.573 2.573 0.000
0.850 1.286 5.641
1.286 3.423 7.898
1.286 4.296 3.385
1.723 1.286 1.128
3.423 3.859 1.128
3.859 0.850 3.385
3.859 1.723 7.898
4.296 3.859 5.641
```

Space group: I-42d, No. 122
Calculated volume, Å³/f.u.: 60
Raw formation energy, eV per atom: -1.253
Energy, eV per atom: -4.72
D(E_F), states/eV/f.u.: 0.3

13.
Here is a relaxed structure of Cd5GaO6 from the Alexandria database. Energies are from PBE-GGA.

Structure (POSCAR):
```
Cd5GaO6
1.0
2.914 -5.034 0.000
2.914 5.034 0.000
-1.973 0.000 5.443
Cd Ga O
5 1 6
Cartesian
0.000 0.000 0.000
1.928 3.354 2.722
2.914 1.666 0.000
2.914 -1.666 0.000
1.928 -3.354 2.722
1.928 0.000 2.722
1.086 1.492 1.458
0.238 0.000 3.874
1.086 -1.492 1.458
2.769 1.492 3.985
3.617 0.000 1.569
2.769 -1.492 3.985
```

Space group: C2/m, No. 12
Calculated volume, Å³/f.u.: 160
Raw formation energy, eV per atom: -1.080
Energy, eV per atom: -4.19
D(E_F), states/eV/f.u.: 1.1

14.
Here is a relaxed structure of Cd2GaO4 from the Alexandria database. Energies are from PBE-GGA.

Structure (POSCAR):
```
Cd2GaO4
1.0
3.895 0.000 0.000
0.000 3.895 0.000
0.000 0.000 11.598
Cd Ga O
4 2 8
Cartesian
0.000 0.000 1.652
0.000 0.000 9.946
1.947 1.947 4.147
1.947 1.947 7.451
0.000 0.000 5.799
1.947 1.947 0.000
0.000 0.000 3.812
0.000 0.000 7.786
0.000 1.947 0.000
0.000 1.947 5.799
1.947 0.000 0.000
1.947 0.000 5.799
1.947 1.947 1.987
1.947 1.947 9.611
```

Space group: I4/mmm, No. 139
Calculated volume, Å³/f.u.: 88
Raw formation energy, eV per atom: -0.949
Energy, eV per atom: -4.48
D(E_F), states/eV/f.u.: 4.8

15.
Here is a relaxed structure of Cd4GaO6 from the Alexandria database. Energies are from PBE-GGA.

Structure (POSCAR):
```
Cd4GaO6
1.0
5.437 -2.875 0.000
5.437 2.875 0.000
-3.920 0.000 10.936
Cd Ga O
8 2 12
Cartesian
-1.094 1.122 9.185
2.940 1.463 1.905
3.478 2.067 5.468
2.644 1.112 8.490
0.866 -1.122 3.718
0.980 -1.463 7.373
4.604 -1.112 3.022
5.437 -2.067 0.000
8.018 1.337 0.653
6.058 -1.337 6.120
-0.390 0.651 4.862
0.857 0.562 2.118
-2.349 -0.651 10.330
-1.103 -0.562 7.586
2.127 0.401 6.377
4.173 0.958 3.661
4.087 -0.401 0.909
7.832 0.780 2.436
2.213 -0.958 9.129
6.816 0.267 5.435
4.857 -0.267 10.903
5.872 -0.780 7.904
```

Space group: Cc, No. 9
Calculated volume, Å³/f.u.: 171
Raw formation energy, eV per atom: -1.037
Energy, eV per atom: -4.35
D(E_F), states/eV/f.u.: 6.8

16.
Here is a relaxed structure of Cd4GaO5 from the Alexandria database. Energies are from PBE-GGA.

Structure (POSCAR):
```
Cd4GaO5
1.0
-3.562 3.562 2.755
3.562 -3.562 2.755
3.562 3.562 -2.755
Cd Ga O
4 1 5
Cartesian
2.114 0.688 0.000
2.873 -1.447 2.755
0.688 5.009 0.000
1.447 2.873 2.755
0.000 0.000 2.719
4.141 1.659 -0.471
1.659 2.982 -0.471
1.902 0.580 2.285
-0.580 1.902 2.285
0.000 0.000 4.658
```

Space group: I4, No. 79
Calculated volume, Å³/f.u.: 140
Raw formation energy, eV per atom: -1.095
Energy, eV per atom: -4.24
D(E_F), states/eV/f.u.: 1.1

17.
Here is a relaxed structure of Cd2GaOsO from the Alexandria database. Energies are from PBE-GGA.

Structure (POSCAR):
```
Cd2GaOsO
1.0
4.620 0.000 0.000
0.000 4.620 0.000
0.000 0.000 3.888
Cd Ga Os O
2 1 1 1
Cartesian
0.000 2.310 0.000
2.310 0.000 0.000
0.000 0.000 1.944
2.310 2.310 1.944
0.000 0.000 0.000
```

Space group: P4/mmm, No. 123
Calculated volume, Å³/f.u.: 83
Raw formation energy, eV per atom: 0.374
Energy, eV per atom: -3.83
D(E_F), states/eV/f.u.: 2.3

18.
Here is a relaxed structure of CdGaOsO6 from the Alexandria database. Energies are from PBE-GGA.

Structure (POSCAR):
```
CdGaOsO6
1.0
5.184 0.000 0.000
-2.592 4.490 0.000
0.000 0.000 9.630
Cd Ga Os O
2 2 2 12
Cartesian
0.000 0.000 0.000
0.000 0.000 4.815
0.000 2.993 2.408
2.592 1.497 7.223
0.000 2.993 7.223
2.592 1.497 2.408
-0.905 1.690 6.166
-1.581 2.861 8.279
0.905 1.690 8.279
-0.676 4.429 6.166
1.916 0.061 1.351
1.011 1.629 3.464
1.581 2.861 6.166
0.676 4.429 8.279
3.268 0.061 3.464
1.687 2.800 1.351
4.173 1.629 1.351
3.497 2.800 3.464
```

Space group: P-31c, No. 163
Calculated volume, Å³/f.u.: 112
Raw formation energy, eV per atom: -1.157
Energy, eV per atom: -6.15
D(E_F), states/eV/f.u.: 4.0

19.
Here is a relaxed structure of Cd2GaOsO from the Alexandria database. Energies are from PBE-GGA.

Structure (POSCAR):
```
Cd2GaOsO
1.0
5.276 0.000 0.000
0.000 5.276 0.000
0.000 0.000 4.746
Cd Ga Os O
2 1 1 1
Cartesian
0.000 2.638 0.000
2.638 0.000 0.000
0.000 0.000 2.373
0.000 0.000 0.000
2.638 2.638 2.373
```

Space group: P4/mmm, No. 123
Calculated volume, Å³/f.u.: 132
Raw formation energy, eV per atom: 0.899
Energy, eV per atom: -3.31
D(E_F), states/eV/f.u.: 3.6

20.
Here is a relaxed structure of CdGaP2O from the Alexandria database. Energies are from PBE-GGA.

Structure (POSCAR):
```
CdGaP2O
1.0
5.055 0.000 0.000
0.000 5.055 0.000
0.000 0.000 3.565
Cd Ga P O
1 1 2 1
Cartesian
0.000 0.000 0.000
2.527 2.527 1.782
0.000 2.527 1.782
2.527 0.000 1.782
2.527 2.527 0.000
```

Space group: P4/mmm, No. 123
Calculated volume, Å³/f.u.: 91
Raw formation energy, eV per atom: 0.241
Energy, eV per atom: -3.70
D(E_F), states/eV/f.u.: 3.8